The following is a DFT calculation (PBE) of crystalline ZrZn2Ni at its relaxed geometry.

Cell lengths 4.4193, 4.4193, 4.4193 Å; angles 120.15, 120.15, 89.74 degrees
Fractional coordinates of all 4 atoms:
Zr1 0.0000 0.0000 0.0000
Zn1 0.2500 0.7500 0.5000
Zn2 0.5000 0.5000 0.0000
Ni1 0.7500 0.2500 0.5000

Values from the calculation:
D(E_F): 2.417 states/eV/cell
E_form: -30 kJ/mol of atoms

***

The following is a DFT calculation (PBE) of crystalline Zr2Zn5Ni4 at its relaxed geometry.

Cell lengths 9.0894, 8.4842, 4.8000 Å; angles 81.24, 67.30, 31.46 degrees
Fractional coordinates of all 11 atoms:
Zr1 0.1275 0.1275 0.8725
Zr2 0.8725 0.8725 0.1275
Zn1 0.0000 0.0000 0.5000
Zn2 0.2500 0.2500 0.2500
Zn3 0.5000 0.5000 0.0000
Zn4 0.5000 0.5000 0.5000
Zn5 0.7500 0.7500 0.7500
Ni1 0.2091 0.5341 0.4659
Ni2 0.4659 0.7909 0.2091
Ni3 0.5341 0.2091 0.7909
Ni4 0.7909 0.4659 0.5341

Values from the calculation:
D(E_F): 8.060 states/eV/cell
E_form: -24 kJ/mol of atoms

***

The following is a DFT calculation (PBE) of crystalline ZrZn2Ni at its relaxed geometry.

Cell lengths 8.6101, 8.6101, 8.6101 Å; angles 20.06, 20.06, 20.06 degrees
Fractional coordinates of all 4 atoms:
Zr1 0.0000 0.0000 0.0000
Zn1 0.2382 0.2382 0.2382
Zn2 0.4883 0.4883 0.4883
Ni1 0.7499 0.7499 0.7499

Values from the calculation:
D(E_F): 2.510 states/eV/cell
E_form: 3 kJ/mol of atoms

***

The following is a DFT calculation (PBE) of crystalline ZrZnNi2 at its relaxed geometry.

Cell lengths 4.8086, 4.8086, 4.8086 Å; angles 133.40, 133.40, 68.03 degrees
Fractional coordinates of all 4 atoms:
Zr1 0.0000 0.0000 0.0000
Zn1 0.2500 0.7500 0.5000
Ni1 0.5000 0.5000 0.0000
Ni2 0.7500 0.2500 0.5000

Values from the calculation:
D(E_F): 3.205 states/eV/cell
E_form: -28 kJ/mol of atoms